[1]
Os2PtPb: relaxed, PBE.

## Properties
Uncorrected energy (eV per atom): -7.226
Total magnetization (Bohr magnetons per cell): 0.00
Calculated formation energy (eV/atom): 0.826

CIF file:
```
data_Os2PtPb
_cell_length_a 5.879
_cell_length_b 7.719
_cell_length_c 2.952
_cell_angle_alpha 90.00
_cell_angle_beta 90.00
_cell_angle_gamma 90.00
_symmetry_space_group_name_H-M 'C m m m'
_symmetry_Int_Tables_number 65
_symmetry_space_group_name_Hall '-C 2 2'
loop_
_atom_site_label
_atom_site_type_symbol
_atom_site_fract_x
_atom_site_fract_y
_atom_site_fract_z
Os1 Os 0.250 0.250 0.000
Pt1 Pt 0.000 0.000 0.500
Pb1 Pb 0.000 0.500 0.500
```

[2]
Os2PtPb: relaxed, PBE.

## Properties
Uncorrected energy (eV per atom): -7.571
Total magnetization (Bohr magnetons per cell): 0.00
Calculated formation energy (eV/atom): 0.482

CIF file:
```
data_Os2PtPb
_cell_length_a 2.841
_cell_length_b 3.542
_cell_length_c 7.395
_cell_angle_alpha 90.00
_cell_angle_beta 100.08
_cell_angle_gamma 90.00
_symmetry_space_group_name_H-M 'P 1 m 1'
_symmetry_Int_Tables_number 6
loop_
_symmetry_equiv_pos_as_xyz
'x,y,z'
'x,-y,z'
loop_
_atom_site_label
_atom_site_type_symbol
_atom_site_fract_x
_atom_site_fract_y
_atom_site_fract_z
Os1 Os 0.000 0.000 0.000
Os2 Os 0.423 0.500 0.835
Pt1 Pt 0.818 0.000 0.601
Pb1 Pb 0.219 0.500 0.329
```

[3]
OsPt4Pb: relaxed, PBE.

## Properties
Uncorrected energy (eV per atom): -5.990
Total magnetization (Bohr magnetons per cell): 12.40
Calculated formation energy (eV/atom): 0.526

CIF file:
```
data_OsPt4Pb
_cell_length_a 7.572
_cell_length_b 7.572
_cell_length_c 7.572
_cell_angle_alpha 90.00
_cell_angle_beta 90.00
_cell_angle_gamma 90.00
_symmetry_space_group_name_H-M 'F -4 3 m'
_symmetry_Int_Tables_number 216
_symmetry_space_group_name_Hall 'F -4 2 3'
loop_
_atom_site_label
_atom_site_type_symbol
_atom_site_fract_x
_atom_site_fract_y
_atom_site_fract_z
Os1 Os 0.000 0.000 0.000
Pt1 Pt 0.126 0.126 0.374
Pb1 Pb 0.250 0.250 0.750
```

[4]
Os2PtPb: relaxed, PBE.

## Properties
Uncorrected energy (eV per atom): -7.334
Total magnetization (Bohr magnetons per cell): 0.00
Calculated formation energy (eV/atom): 0.718

CIF file:
```
data_Os2PtPb
_cell_length_a 4.089
_cell_length_b 4.089
_cell_length_c 7.961
_cell_angle_alpha 90.00
_cell_angle_beta 90.00
_cell_angle_gamma 90.00
_symmetry_space_group_name_H-M 'I -4 m 2'
_symmetry_Int_Tables_number 119
_symmetry_space_group_name_Hall 'I -4 -2'
loop_
_atom_site_label
_atom_site_type_symbol
_atom_site_fract_x
_atom_site_fract_y
_atom_site_fract_z
Os1 Os 0.000 0.000 0.000
Os2 Os 0.000 0.500 0.250
Pt1 Pt 0.000 0.000 0.500
Pb1 Pb 0.000 0.500 0.750
```

[5]
Os2Pt2Pb: relaxed, PBE.

## Properties
Uncorrected energy (eV per atom): -7.149
Energy relative to the lowest polymorph listed for this composition (eV/atom): 0.000
Total magnetization (Bohr magnetons per cell): 0.00
Calculated formation energy (eV/atom): 0.501

CIF file:
```
data_Os2Pt2Pb
_cell_length_a 7.976
_cell_length_b 7.976
_cell_length_c 2.782
_cell_angle_alpha 90.00
_cell_angle_beta 90.00
_cell_angle_gamma 90.00
_symmetry_space_group_name_H-M 'P 4/m b m'
_symmetry_Int_Tables_number 127
_symmetry_space_group_name_Hall '-P 4 2ab'
loop_
_atom_site_label
_atom_site_type_symbol
_atom_site_fract_x
_atom_site_fract_y
_atom_site_fract_z
Os1 Os 0.112 0.388 0.000
Pt1 Pt 0.183 0.683 0.500
Pb1 Pb 0.000 0.000 0.000
```

[6]
Os2Pt2Pb: relaxed, PBE.

## Properties
Uncorrected energy (eV per atom): -7.028
Energy relative to the lowest polymorph listed for this composition (eV/atom): 0.121
Total magnetization (Bohr magnetons per cell): 0.00
Calculated formation energy (eV/atom): 0.622

CIF file:
```
data_Os2Pt2Pb
_cell_length_a 4.101
_cell_length_b 4.101
_cell_length_c 11.315
_cell_angle_alpha 90.00
_cell_angle_beta 90.00
_cell_angle_gamma 90.00
_symmetry_space_group_name_H-M 'I 4/m m m'
_symmetry_Int_Tables_number 139
_symmetry_space_group_name_Hall '-I 4 2'
loop_
_atom_site_label
_atom_site_type_symbol
_atom_site_fract_x
_atom_site_fract_y
_atom_site_fract_z
Os1 Os 0.000 0.000 0.103
Pt1 Pt 0.000 0.500 0.250
Pb1 Pb 0.000 0.000 0.500
```

[7]
Os2PtPb: relaxed, PBE.

## Properties
Uncorrected energy (eV per atom): -7.156
Total magnetization (Bohr magnetons per cell): 0.00
Calculated formation energy (eV/atom): 0.896

CIF file:
```
data_Os2PtPb
_cell_length_a 2.9233
_cell_length_b 2.9233
_cell_length_c 28.0691
_cell_angle_alpha 90.00
_cell_angle_beta 90.00
_cell_angle_gamma 120.00
_symmetry_space_group_name_H-M 'R -3 m'
_symmetry_Int_Tables_number 166
_symmetry_space_group_name_Hall '-R 3 2"'
loop_
_atom_site_label
_atom_site_type_symbol
_atom_site_fract_x
_atom_site_fract_y
_atom_site_fract_z
Os1 Os 0.0000 0.0000 0.2424
Pt1 Pt 0.0000 0.0000 0.5000
Pb1 Pb 0.0000 0.0000 0.0000
```

[8]
Os2PtPb: relaxed, PBE.

## Properties
Uncorrected energy (eV per atom): -7.242
Total magnetization (Bohr magnetons per cell): 0.00
Calculated formation energy (eV/atom): 0.811

CIF file:
```
data_Os2PtPb
_cell_length_a 2.888
_cell_length_b 4.834
_cell_length_c 4.879
_cell_angle_alpha 90.00
_cell_angle_beta 90.00
_cell_angle_gamma 90.00
_symmetry_space_group_name_H-M 'P m m m'
_symmetry_Int_Tables_number 47
loop_
_symmetry_equiv_pos_as_xyz
'x,y,z'
'-x,-y,-z'
'-x,-y,z'
'x,y,-z'
'x,-y,-z'
'-x,y,z'
'-x,y,-z'
'x,-y,z'
loop_
_atom_site_label
_atom_site_type_symbol
_atom_site_fract_x
_atom_site_fract_y
_atom_site_fract_z
Os1 Os 0.000 0.000 0.000
Os2 Os 0.500 0.500 0.000
Pt1 Pt 0.000 0.500 0.500
Pb1 Pb 0.500 0.000 0.500
```

[9]
Os2PtPb: relaxed, PBE.

## Properties
Uncorrected energy (eV per atom): -6.464
Total magnetization (Bohr magnetons per cell): 0.00
Calculated formation energy (eV/atom): 1.588

CIF file:
```
data_Os2PtPb
_cell_length_a 5.887
_cell_length_b 5.887
_cell_length_c 11.859
_cell_angle_alpha 90.00
_cell_angle_beta 90.00
_cell_angle_gamma 90.00
_symmetry_space_group_name_H-M 'I -4 2 d'
_symmetry_Int_Tables_number 122
_symmetry_space_group_name_Hall 'I -4 2bw'
loop_
_atom_site_label
_atom_site_type_symbol
_atom_site_fract_x
_atom_site_fract_y
_atom_site_fract_z
Os1 Os 0.204 0.250 0.125
Pt1 Pt 0.000 0.000 0.000
Pb1 Pb 0.000 0.000 0.500
```

[10]
OsPtRh2Pb: relaxed, PBE.

## Properties
Uncorrected energy (eV per atom): -5.786
Total magnetization (Bohr magnetons per cell): 0.00
Calculated formation energy (eV/atom): 1.350

CIF file:
```
data_OsPtRh2Pb
_cell_length_a 4.683
_cell_length_b 4.683
_cell_length_c 5.173
_cell_angle_alpha 90.00
_cell_angle_beta 90.00
_cell_angle_gamma 90.00
_symmetry_space_group_name_H-M 'P 4/m m m'
_symmetry_Int_Tables_number 123
_symmetry_space_group_name_Hall '-P 4 2'
loop_
_atom_site_label
_atom_site_type_symbol
_atom_site_fract_x
_atom_site_fract_y
_atom_site_fract_z
Os1 Os 0.000 0.000 0.000
Pt1 Pt 0.500 0.500 0.500
Rh1 Rh 0.000 0.500 0.000
Pb1 Pb 0.000 0.000 0.500
```

[11]
TaOsPtPb2: relaxed, PBE.

## Properties
Uncorrected energy (eV per atom): -5.563
Total magnetization (Bohr magnetons per cell): 0.00
Calculated formation energy (eV/atom): 1.745

CIF file:
```
data_TaOsPtPb2
_cell_length_a 5.172
_cell_length_b 5.172
_cell_length_c 4.832
_cell_angle_alpha 90.00
_cell_angle_beta 90.00
_cell_angle_gamma 90.00
_symmetry_space_group_name_H-M 'P 4/m m m'
_symmetry_Int_Tables_number 123
_symmetry_space_group_name_Hall '-P 4 2'
loop_
_atom_site_label
_atom_site_type_symbol
_atom_site_fract_x
_atom_site_fract_y
_atom_site_fract_z
Ta1 Ta 0.000 0.000 0.000
Os1 Os 0.500 0.500 0.000
Pt1 Pt 0.500 0.500 0.500
Pb1 Pb 0.000 0.500 0.500
```

[12]
Pu2OsPb: relaxed, PBE.

## Properties
Uncorrected energy (eV per atom): -11.044
Energy relative to the lowest polymorph listed for this composition (eV/atom): 0.000
Total magnetization (Bohr magnetons per cell): 10.11
Calculated formation energy (eV/atom): -0.143

CIF file:
```
data_Pu2OsPb
_cell_length_a 3.251
_cell_length_b 3.251
_cell_length_c 8.959
_cell_angle_alpha 90.00
_cell_angle_beta 90.00
_cell_angle_gamma 90.00
_symmetry_space_group_name_H-M 'P 4/m m m'
_symmetry_Int_Tables_number 123
_symmetry_space_group_name_Hall '-P 4 2'
loop_
_atom_site_label
_atom_site_type_symbol
_atom_site_fract_x
_atom_site_fract_y
_atom_site_fract_z
Pu1 Pu 0.000 0.000 0.200
Os1 Os 0.500 0.500 0.000
Pb1 Pb 0.500 0.500 0.500
```

Q: total magnetization of number 7 (Os2PtPb)?
A: 0.00 Bohr magnetons per cell

Q: calculated formation energy of number 1 (Os2PtPb)?
A: 0.826 eV/atom

Q: Among the records above, which one has the highest calculated formation energy?
A: TaOsPtPb2

Q: Number 5 is which compound?
A: Os2Pt2Pb